This record from Alexandria via LeMat-Bulk describes a relaxed CsLaN2 crystal. The functional is PBE.

volume	227.21	Å³ per cell
electronic total energy	-0.2041	Ha/atom
total magnetization	0.50	μB per atom

a = 6.943 Å, b = 6.943 Å, c = 6.806 Å
α = 59.33°, β = 59.33°, γ = 90.00°
Each line ends with the local moment (μB).
Positions (direct):
Cs 0.500 0.500 0.000  0.01
Cs 0.250 0.750 0.500  0.01
N 0.733 0.125 0.250  0.64
N 0.017 0.625 0.250  0.67
N 0.375 0.267 0.750  0.60
N 0.875 0.983 0.750  0.63
La 0.000 0.000 0.000  0.12
La 0.750 0.250 0.500  0.12